Computed, not measured: crystalline SnIrNO at its relaxed geometry at the PBE-GGA level of DFT.

Unit cell a=5.584 b=7.298 c=5.058 alpha=90.00 beta=90.00 gamma=90.00
Fractional coordinates of all 16 atoms:
O  0.145  0.476  0.752
O  0.355  0.476  0.252
O  0.855  0.524  0.252
O  0.645  0.524  0.752
Ir  0.637  0.344  0.064
Ir  0.863  0.344  0.564
Ir  0.363  0.656  0.564
Ir  0.137  0.656  0.064
N  0.910  0.868  0.901
N  0.590  0.868  0.401
N  0.410  0.132  0.901
N  0.090  0.132  0.401
Sn  0.034  0.146  0.985
Sn  0.966  0.854  0.485
Sn  0.466  0.146  0.485
Sn  0.534  0.854  0.985

- Space-group type: Pca2_1, No. 29
- V: 12.88 Å³/atom
- VASP energy: -6.615 eV per atom
- E above lowest polymorph: 165 meV/atom